# InTc2O8

A relaxed InTc2O8 crystal (GGA-PBE, the Alexandria database).

abc: 5.5113 6.5619 6.5619
angles: 65.47 78.96 78.96
Positions (direct):
O 0.6670 0.1521 0.1521
O 0.7766 0.6515 0.6515
O 0.7918 0.0689 0.6935
O 0.3330 0.8479 0.8479
O 0.2234 0.3485 0.3485
O 0.2082 0.9311 0.3065
O 0.2082 0.3065 0.9311
O 0.7918 0.6935 0.0689
In 0.0000 0.0000 0.0000
Tc 0.6657 0.8090 0.8090
Tc 0.3343 0.1910 0.1910

Output
- energy above the most stable polymorph in this dataset (meV/atom) = 9.1
- E_form (uncorrected) (kJ per mole of atoms) = -121.6
- DOS at the Fermi energy (states/eV per atom) = 0.1620
- symmetry = C2/m